DFT (PBE) results for an optimized crystal structure of SrTcN3.

Geometry as CIF:
```
data_SrTcN3
_chemical_formula_sum 'Sr1 Tc1 N3'
_cell_length_a 3.5337
_cell_length_b 5.0245
_cell_length_c 4.6380
_cell_angle_alpha 74.83
_cell_angle_beta 90.00
_cell_angle_gamma 90.00
_space_group_name_H-M_alt 'P 1'
_space_group_IT_number 1
loop_
_space_group_symop_operation_xyz
'x,y,z'
loop_
_atom_site_label
_atom_site_fract_x
_atom_site_fract_y
_atom_site_fract_z
N1 0.8168 0.6263 0.8663
N2 0.3168 0.8504 0.2596
N3 0.8168 0.4799 0.6819
Tc1 0.8168 0.6945 0.2407
Sr1 0.3168 0.0987 0.6833
```

Results
Space-group type ... No. 6
Mass density ... 4.76 Mg/m³
Calculated volume ... 15.9 Å³/atom
ΔE_f (raw) ... -0.2063 eV per atom
VASP energy ... -0.27970 Ha/atom